Be3CoF at its PBEsol-relaxed geometry. Source: Alexandria via LeMat-Bulk, functional SCAN.

Structure (POSCAR):
```
Be3CoF
1.0
3.968 0.000 0.000
0.000 3.968 0.000
0.000 0.000 3.968
Be Co F
3 1 1
Direct
0.000 0.000 0.500
0.000 0.500 0.000
0.500 0.000 0.000
0.000 0.000 0.000
0.500 0.500 0.500
```

Summary:
Total magnetization (μB/f.u.): 0.001
Uncorrected formation energy (eV per atom): 0.637